# KCoF2 GGA+U relaxed
# relative energy among the computed polymorphs	299	meV/atom
# total energy	-4.014	eV per atom
data_KCoF2
_cell_length_a 6.970
_cell_length_b 6.970
_cell_length_c 6.970
_cell_angle_alpha 29.46
_cell_angle_beta 29.46
_cell_angle_gamma 29.46
_space_group_name_H-M_alt 'P 1'
_space_group_IT_number 1
loop_
_space_group_symop_operation_xyz
'x,y,z'
loop_
_atom_site_label
_atom_site_fract_x
_atom_site_fract_y
_atom_site_fract_z
Co1 0.500 0.500 0.500
F1 0.122 0.122 0.122
F2 0.878 0.878 0.878
K1 0.000 0.000 0.000